{"formula": "La2HgRh", "functional": "PBEsol", "state": "optimized geometry", "lattice_angstrom": [[-1.957, 1.407, 2.733], [-2.029, -3.025, 0.105], [4.758, -3.020, 4.961]], "species": ["La", "Rh", "La", "Hg"], "frac_coords": [[0.000, 0.000, 0.780], [0.500, 0.500, 0.000], [0.000, 0.000, 0.220], [0.500, 0.500, 0.500]], "volume_a3_per_atom": 24.9, "dft_energy_ev_per_fu": -21.67, "e_form_ev_per_atom": -0.567, "space_group": "P4/mmm (123)", "mass_density_g_cm3": 9.68}


{"formula": "In3Mo15Se19", "functional": "PBEsol", "state": "optimized geometry", "lattice_angstrom": [[9.649, -0.046, 0.000], [-4.825, 8.484, 0.000], [0.000, 0.000, 19.355]], "species": ["Mo", "Se", "Se", "Se", "Se", "Se", "Se", "Mo", "Se", "Mo", "Mo", "Mo", "Mo", "Se", "Mo", "Mo", "Se", "Mo", "Se", "Se", "Se", "Mo", "Mo", "Se", "Se", "Mo", "Mo", "Se", "Se", "Mo", "Mo", "Se", "In", "Mo", "Se", "In", "Mo", "Se", "Mo", "Se", "Se", "In", "Mo", "Mo", "Se", "Se", "Se", "Mo", "Mo", "Mo", "Se", "Se", "Mo", "Mo", "Mo", "Mo", "Se", "In", "Se", "Se", "Se", "In", "Mo", "Se", "Se", "Mo", "Se", "Se", "Se", "Se", "Se", "In", "Se", "Mo"], "frac_coords": [[0.348, 0.512, 0.750], [0.965, 0.288, 0.553], [0.713, 0.679, 0.550], [0.010, 0.016, 0.339], [0.713, 0.679, 0.950], [0.963, 0.647, 0.250], [0.993, 0.369, 0.358], [0.683, 0.184, 0.367], [0.287, 0.321, 0.050], [0.019, 0.850, 0.943], [0.186, 0.506, 0.634], [0.499, 0.312, 0.135], [0.851, 0.836, 0.058], [0.380, 0.389, 0.635], [0.981, 0.150, 0.443], [0.166, 0.016, 0.443], [0.334, 0.670, 0.530], [0.814, 0.494, 0.366], [0.653, 0.691, 0.750], [0.673, 0.960, 0.448], [0.620, 0.611, 0.365], [0.149, 0.164, 0.558], [0.652, 0.488, 0.250], [0.334, 0.670, 0.970], [0.037, 0.353, 0.750], [0.166, 0.016, 0.057], [0.981, 0.150, 0.057], [0.035, 0.712, 0.053], [0.035, 0.712, 0.447], [0.499, 0.312, 0.365], [0.834, 0.984, 0.943], [0.380, 0.389, 0.865], [0.220, 0.180, 0.750], [0.683, 0.184, 0.133], [0.287, 0.321, 0.450], [0.319, 0.667, 0.122], [0.149, 0.164, 0.942], [0.327, 0.040, 0.552], [0.832, 0.345, 0.250], [0.312, 0.957, 0.750], [0.620, 0.611, 0.135], [0.681, 0.333, 0.878], [0.851, 0.836, 0.442], [0.501, 0.688, 0.635], [0.993, 0.369, 0.142], [0.666, 0.330, 0.470], [0.377, 0.006, 0.358], [0.168, 0.655, 0.750], [0.019, 0.850, 0.557], [0.834, 0.984, 0.557], [0.990, 0.984, 0.661], [0.347, 0.309, 0.250], [0.317, 0.816, 0.633], [0.317, 0.816, 0.867], [0.501, 0.688, 0.865], [0.508, 0.167, 0.250], [0.623, 0.994, 0.642], [0.681, 0.333, 0.622], [0.007, 0.631, 0.858], [0.377, 0.006, 0.142], [0.007, 0.631, 0.642], [0.780, 0.820, 0.250], [0.186, 0.506, 0.866], [0.327, 0.040, 0.948], [0.010, 0.016, 0.161], [0.814, 0.494, 0.134], [0.990, 0.984, 0.839], [0.965, 0.288, 0.947], [0.666, 0.330, 0.030], [0.673, 0.960, 0.052], [0.623, 0.994, 0.858], [0.319, 0.667, 0.378], [0.688, 0.043, 0.250], [0.492, 0.833, 0.750]], "e_form_raw_mev_per_atom": -517, "volume_a3_per_atom": 21.4, "dft_energy_ev_per_fu": -277.76, "space_group": "P2_1/m (11)", "mass_density_g_cm3": 6.90}


{"formula": "Be2AgSb", "functional": "PBEsol", "state": "optimized geometry", "lattice_angstrom": [[-0.039, 2.899, -0.988], [-3.946, -1.574, 0.287], [0.942, 1.693, 4.931]], "species": ["Be", "Be", "Sb", "Ag"], "frac_coords": [[0.757, 0.515, 0.831], [0.243, 0.485, 0.169], [0.000, 0.000, 0.500], [0.500, 0.000, 0.000]], "e_form_raw_mev_per_atom": 393, "volume_a3_per_atom": 15.7, "dft_energy_ev_per_fu": -14.30, "space_group": "C2/m (12)", "mass_density_g_cm3": 6.56}


{"formula": "Li2TlRh", "functional": "PBEsol", "state": "optimized geometry", "lattice_angstrom": [[3.915, 0.000, 0.000], [0.000, 3.915, 0.000], [-1.957, -1.957, 3.959]], "species": ["Li", "Tl", "Rh", "Li"], "frac_coords": [[0.750, 0.250, 0.500], [0.000, 0.000, 0.000], [0.500, 0.500, 0.000], [0.250, 0.750, 0.500]], "volume_a3_per_atom": 15.2, "dft_energy_ev_per_fu": -15.47, "e_form_ev_per_atom": -0.192, "space_group": "I4/mmm (139)", "mass_density_g_cm3": 8.79}


{"formula": "NbCrO4", "functional": "PBEsol", "state": "optimized geometry", "lattice_angstrom": [[-0.516, 2.841, -2.603], [-2.815, 1.515, 2.211], [4.895, 0.497, 2.475]], "species": ["Nb", "O", "O", "O", "O", "Cr"], "frac_coords": [[0.500, 0.500, 0.000], [0.543, 0.043, 0.087], [0.957, 0.457, 0.913], [0.290, 0.290, 0.580], [0.710, 0.710, 0.420], [0.750, 0.250, 0.500]], "e_form_raw_mev_per_atom": -2223, "volume_a3_per_atom": 12.0, "dft_energy_ev_per_fu": -55.40, "space_group": "I-4m2 (119)", "mass_density_g_cm3": 4.81}


{"formula": "Ba5Nb3O3F20", "functional": "PBEsol", "state": "optimized geometry", "lattice_angstrom": [[-2.158, 4.413, -6.173], [-8.385, -7.902, -2.718], [-2.479, 8.989, 7.292]], "species": ["Ba", "Ba", "F", "F", "F", "F", "Ba", "F", "O", "O", "Ba", "F", "F", "F", "F", "F", "F", "F", "F", "F", "F", "O", "F", "Ba", "F", "F", "F", "Nb", "Ba", "F", "F", "F", "F", "Nb", "F", "F", "F", "F", "Nb", "Nb", "Nb", "Nb", "F", "F", "O", "O", "F", "F", "F", "F", "F", "Ba", "F", "F", "F", "Ba", "O", "Ba", "F", "F", "F", "Ba"], "frac_coords": [[0.750, 0.092, 0.643], [0.500, 0.000, 0.000], [0.626, 0.333, 0.667], [0.097, 0.390, 0.494], [0.750, 0.852, 0.864], [0.250, 0.864, 0.012], [0.750, 0.551, 0.908], [0.490, 0.722, 0.943], [0.750, 0.581, 0.694], [0.250, 0.887, 0.581], [0.250, 0.908, 0.357], [0.374, 0.667, 0.333], [0.903, 0.896, 0.390], [0.990, 0.278, 0.057], [0.903, 0.610, 0.506], [0.403, 0.390, 0.494], [0.010, 0.220, 0.278], [0.990, 0.943, 0.220], [0.403, 0.506, 0.896], [0.510, 0.780, 0.722], [0.010, 0.722, 0.943], [0.750, 0.306, 0.887], [0.597, 0.494, 0.104], [0.250, 0.643, 0.551], [0.250, 0.158, 0.409], [0.250, 0.148, 0.136], [0.750, 0.012, 0.148], [0.250, 0.282, 0.330], [0.250, 0.333, 0.667], [0.403, 0.104, 0.610], [0.597, 0.896, 0.390], [0.510, 0.943, 0.220], [0.750, 0.749, 0.158], [0.750, 0.952, 0.282], [0.250, 0.988, 0.852], [0.250, 0.251, 0.842], [0.990, 0.780, 0.722], [0.097, 0.104, 0.610], [0.750, 0.718, 0.670], [0.750, 0.330, 0.048], [0.250, 0.670, 0.952], [0.250, 0.048, 0.718], [0.490, 0.057, 0.780], [0.874, 0.333, 0.667], [0.750, 0.113, 0.419], [0.250, 0.419, 0.306], [0.490, 0.220, 0.278], [0.750, 0.842, 0.591], [0.097, 0.506, 0.896], [0.510, 0.278, 0.057], [0.250, 0.591, 0.749], [0.750, 0.357, 0.449], [0.010, 0.057, 0.780], [0.750, 0.409, 0.251], [0.126, 0.667, 0.333], [0.750, 0.667, 0.333], [0.250, 0.694, 0.113], [0.250, 0.449, 0.092], [0.597, 0.610, 0.506], [0.903, 0.494, 0.104], [0.750, 0.136, 0.988], [0.000, 0.000, 0.000]], "e_form_raw_mev_per_atom": -3342, "volume_a3_per_atom": 15.4, "dft_energy_ev_per_fu": -201.12, "space_group": "P6_3/m (176)", "mass_density_g_cm3": 4.83}


{"formula": "BiSb", "functional": "PBEsol", "state": "optimized geometry", "lattice_angstrom": [[4.434, 0.000, 0.000], [2.217, 3.840, 0.000], [2.217, 1.280, 3.784]], "species": ["Bi", "Sb"], "frac_coords": [[0.763, 0.763, 0.710], [0.237, 0.237, 0.290]], "e_form_raw_mev_per_atom": -3, "volume_a3_per_atom": 32.2, "dft_energy_ev_per_fu": -8.85, "space_group": "R3m (160)", "mass_density_g_cm3": 8.52}


{"formula": "CaCrNi", "functional": "PBEsol", "state": "optimized geometry", "lattice_angstrom": [[4.387, 0.000, 0.000], [2.193, 3.799, 0.000], [2.193, 1.266, 3.582]], "species": ["Ni", "Cr", "Ca"], "frac_coords": [[0.250, 0.250, 0.250], [0.500, 0.500, 0.500], [0.000, 0.000, 0.000]], "volume_a3_per_atom": 19.9, "dft_energy_ev_per_fu": -16.47, "e_form_ev_per_atom": 0.687, "space_group": "F-43m (216)", "mass_density_g_cm3": 4.19}


{"formula": "Pr2Si2PbS8", "functional": "PBEsol", "state": "optimized geometry", "lattice_angstrom": [[-0.196, -6.037, -6.451], [4.660, -7.450, 0.941], [-5.578, -8.177, 2.100]], "species": ["S", "S", "Si", "S", "S", "S", "S", "S", "Pb", "S", "S", "Si", "Pr", "S", "Pr", "S", "Si", "Pr", "Si", "Pr", "S", "S", "Pb", "S", "S", "S"], "frac_coords": [[0.796, 0.537, 0.568], [0.919, 0.399, 0.242], [0.175, 0.647, 0.519], [0.099, 0.070, 0.052], [0.611, 0.276, 0.568], [0.399, 0.919, 0.742], [0.409, 0.708, 0.442], [0.537, 0.796, 0.068], [0.919, 0.753, 0.242], [0.070, 0.099, 0.552], [0.571, 0.098, 0.259], [0.328, 0.850, 0.981], [0.061, 0.253, 0.751], [0.098, 0.571, 0.759], [0.560, 0.442, 0.254], [0.882, 0.979, 0.922], [0.850, 0.328, 0.481], [0.253, 0.061, 0.251], [0.647, 0.175, 0.019], [0.442, 0.560, 0.754], [0.276, 0.611, 0.068], [0.425, 0.233, 0.950], [0.753, 0.919, 0.742], [0.233, 0.425, 0.450], [0.979, 0.882, 0.422], [0.708, 0.409, 0.942]], "e_form_raw_mev_per_atom": -1258, "volume_a3_per_atom": 23.3, "dft_energy_ev_per_fu": -77.28, "space_group": "Cc (9)", "mass_density_g_cm3": 4.39}


{"formula": "MgB2C2", "functional": "PBEsol", "state": "optimized geometry", "lattice_angstrom": [[7.206, 0.000, 0.000], [-1.026, 7.132, 0.000], [0.000, 0.000, 7.393]], "species": ["C", "C", "B", "B", "B", "Mg", "B", "C", "C", "B", "Mg", "C", "Mg", "Mg", "B", "B", "C", "C", "C", "B", "C", "C", "B", "C", "B", "Mg", "C", "C", "C", "B", "Mg", "Mg", "C", "B", "B", "B", "C", "B", "Mg", "B"], "frac_coords": [[0.920, 0.920, 0.770], [0.450, 0.201, 0.276], [0.412, 0.412, 0.276], [0.088, 0.088, 0.776], [0.844, 0.344, 0.750], [0.848, 0.152, 0.000], [0.213, 0.468, 0.755], [0.201, 0.450, 0.276], [0.299, 0.050, 0.776], [0.468, 0.213, 0.755], [0.152, 0.848, 0.000], [0.799, 0.550, 0.724], [0.652, 0.348, 0.500], [0.721, 0.721, 0.989], [0.968, 0.713, 0.745], [0.032, 0.287, 0.255], [0.950, 0.701, 0.224], [0.701, 0.950, 0.224], [0.050, 0.299, 0.776], [0.344, 0.844, 0.750], [0.177, 0.677, 0.750], [0.323, 0.823, 0.250], [0.656, 0.156, 0.250], [0.580, 0.580, 0.270], [0.588, 0.588, 0.724], [0.279, 0.279, 0.011], [0.420, 0.420, 0.730], [0.677, 0.177, 0.750], [0.080, 0.080, 0.230], [0.156, 0.656, 0.250], [0.779, 0.779, 0.489], [0.348, 0.652, 0.500], [0.550, 0.799, 0.724], [0.532, 0.787, 0.245], [0.787, 0.532, 0.245], [0.912, 0.912, 0.224], [0.823, 0.323, 0.250], [0.287, 0.032, 0.255], [0.221, 0.221, 0.511], [0.713, 0.968, 0.745]], "volume_a3_per_atom": 9.5, "dft_energy_ev_per_fu": -35.80, "e_form_ev_per_atom": -0.152, "space_group": "Cmce (64)", "mass_density_g_cm3": 2.45}


{"formula": "KSc2Au", "functional": "PBEsol", "state": "optimized geometry", "lattice_angstrom": [[-3.613, -3.383, 1.288], [0.925, -3.466, 3.645], [-2.346, 0.365, 4.530]], "species": ["Sc", "Au", "Sc", "K"], "frac_coords": [[0.750, 0.750, 0.750], [0.500, 0.500, 0.500], [0.000, 0.000, 0.000], [0.250, 0.250, 0.250]], "relative_energy_mev_per_atom": 506, "volume_a3_per_atom": 23.6, "dft_energy_ev_per_fu": -16.59, "e_form_ev_per_atom": 0.420, "space_group": "F-43m (216)", "mass_density_g_cm3": 5.72}


{"formula": "Co2HgPb", "functional": "PBEsol", "state": "optimized geometry", "lattice_angstrom": [[-3.103, 0.216, -0.518], [0.721, -0.139, -4.373], [-0.322, -4.422, 0.087]], "species": ["Co", "Hg", "Pb", "Co"], "frac_coords": [[0.000, 0.500, 0.000], [0.500, 0.500, 0.500], [0.500, 0.000, 0.000], [0.000, 0.000, 0.500]], "relative_energy_mev_per_atom": 66, "volume_a3_per_atom": 15.5, "dft_energy_ev_per_fu": -18.05, "e_form_ev_per_atom": 0.498, "space_group": "P4/mmm (123)", "mass_density_g_cm3": 14.08}